Record 1
Here is crystalline La3Pb5O12 at its relaxed geometry from the Alexandria database. Energies are from PBE.

Fermi-level density of states ... 0.356 states/eV per atom
Raw formation energy ... -1.7854 eV/atom

Geometry as POSCAR:
```
La3Pb5O12
1.0
12.1510 0.0000 0.0000
-4.0503 11.4561 0.0000
-4.0503 -5.7280 9.9212
La Pb O
12 20 48
direct
0.7500 0.3750 0.1250
0.8750 0.7500 0.1250
0.3750 0.7500 0.6250
0.2500 0.1250 0.3750
0.8750 0.1250 0.2500
0.3750 0.6250 0.2500
0.6250 0.3750 0.7500
0.1250 0.8750 0.7500
0.7500 0.8750 0.6250
0.6250 0.2500 0.3750
0.1250 0.2500 0.8750
0.2500 0.6250 0.8750
0.1250 0.3750 0.2500
0.0000 0.5000 0.0000
0.0000 0.0000 0.0000
0.3750 0.2500 0.1250
0.5000 0.0000 0.5000
0.5000 0.5000 0.0000
0.1250 0.7500 0.3750
0.7500 0.1250 0.8750
0.7500 0.6250 0.3750
0.3750 0.1250 0.7500
0.6250 0.8750 0.2500
0.5000 0.5000 0.5000
0.5000 0.0000 0.0000
0.0000 0.0000 0.5000
0.2500 0.3750 0.6250
0.2500 0.8750 0.1250
0.0000 0.5000 0.5000
0.8750 0.2500 0.6250
0.6250 0.7500 0.8750
0.8750 0.6250 0.7500
0.7120 0.1314 0.0470
0.3350 0.5470 0.4156
0.9530 0.3686 0.2880
0.5470 0.2120 0.1314
0.5806 0.7120 0.6650
0.9530 0.5844 0.1650
0.3350 0.7880 0.4194
0.0844 0.9194 0.1314
0.5844 0.9530 0.6650
0.7120 0.5806 0.1650
0.7880 0.4530 0.3686
0.8350 0.9156 0.0470
0.1314 0.7120 0.5470
0.3686 0.4156 0.0806
0.0806 0.9156 0.3686
0.4194 0.1314 0.5844
0.0806 0.1650 0.2120
0.4530 0.6650 0.0844
0.8350 0.9194 0.2880
0.1314 0.4194 0.0844
0.3686 0.9530 0.7880
0.5844 0.6314 0.4194
0.9156 0.8350 0.5470
0.7880 0.3350 0.9194
0.4156 0.3686 0.5806
0.0844 0.1650 0.4530
0.2120 0.6650 0.0806
0.1649 0.0806 0.7120
0.6314 0.0470 0.2120
0.8686 0.5806 0.9156
0.5470 0.3350 0.9156
0.5806 0.8686 0.4156
0.9194 0.8350 0.7880
0.9194 0.0844 0.6314
0.8686 0.2880 0.4530
0.1650 0.0844 0.9530
0.6314 0.5844 0.9194
0.4156 0.0470 0.3350
0.2880 0.4194 0.8351
0.2120 0.5470 0.6314
0.9156 0.0806 0.8686
0.6649 0.2120 0.5806
0.4530 0.7880 0.8686
0.0470 0.4156 0.8351
0.4194 0.2880 0.3350
0.0470 0.6314 0.7120
0.6649 0.4530 0.5844
0.2880 0.8686 0.9530
```


Record 2
Here is crystalline La6Pb3O2 at its relaxed geometry from the Alexandria database. Energies are from PBE.

Fermi-level density of states ... 0.523 states/eV per atom
Raw formation energy ... -1.4299 eV/atom

Geometry as POSCAR:
```
La6Pb3O2
1.0
4.8565 0.0000 -0.9532
-0.1871 4.8529 -0.9532
0.2044 0.2124 13.8895
La Pb O
6 3 2
direct
0.0830 0.5830 0.1659
0.5830 0.0830 0.1659
0.9170 0.4170 0.8341
0.4170 0.9170 0.8341
0.6946 0.6946 0.3892
0.3054 0.3054 0.6108
0.0000 0.0000 0.0000
0.8219 0.8219 0.6438
0.1781 0.1781 0.3562
0.3962 0.3962 0.7924
0.6038 0.6038 0.2076
```


Record 3
Here is crystalline LaPbO2 at its relaxed geometry from the Alexandria database. Energies are from PBE.

Fermi-level density of states ... 0.149 states/eV per atom
Polymorph energy (0 for the lowest one) ... 0 meV per atom
Raw formation energy ... -2.2964 eV/atom

Geometry as POSCAR:
```
LaPbO2
1.0
1.9709 -3.3607 6.2951
3.6839 -5.2946 3.6335
5.1613 -2.1228 4.8644
Pb O La
1 2 1
direct
0.0000 0.0000 0.0000
0.8863 0.8863 0.8863
0.1137 0.1137 0.1137
0.5000 0.5000 0.5000
```


Record 4
Here is crystalline La12Pb3O5 at its relaxed geometry from the Alexandria database. Energies are from PBE.

Fermi-level density of states ... 0.780 states/eV per atom
Raw formation energy ... -1.5724 eV/atom

Geometry as POSCAR:
```
La12Pb3O5
1.0
-4.0540 5.8462 -12.5155
-11.6653 -3.9671 7.4454
7.4913 9.6588 7.6051
Pb O La
12 20 48
direct
0.7500 0.3750 0.1250
0.8750 0.7500 0.1250
0.3750 0.7500 0.6250
0.2500 0.1250 0.3750
0.8750 0.1250 0.2500
0.3750 0.6250 0.2500
0.6250 0.3750 0.7500
0.1250 0.8750 0.7500
0.7500 0.8750 0.6250
0.6250 0.2500 0.3750
0.1250 0.2500 0.8750
0.2500 0.6250 0.8750
0.1250 0.3750 0.2500
0.0000 0.5000 0.0000
0.0000 0.0000 0.0000
0.3750 0.2500 0.1250
0.5000 0.0000 0.5000
0.5000 0.5000 0.0000
0.1250 0.7500 0.3750
0.7500 0.1250 0.8750
0.7500 0.6250 0.3750
0.3750 0.1250 0.7500
0.6250 0.8750 0.2500
0.5000 0.5000 0.5000
0.5000 0.0000 0.0000
0.0000 0.0000 0.5000
0.2500 0.3750 0.6250
0.2500 0.8750 0.1250
0.0000 0.5000 0.5000
0.8750 0.2500 0.6250
0.6250 0.7500 0.8750
0.8750 0.6250 0.7500
0.6958 0.1069 0.0086
0.3129 0.5087 0.4018
0.9914 0.3931 0.3042
0.5087 0.1958 0.1069
0.5889 0.6958 0.6871
0.9914 0.5982 0.1871
0.3129 0.8042 0.4111
0.0982 0.9111 0.1069
0.5982 0.9914 0.6871
0.6958 0.5889 0.1871
0.8042 0.4914 0.3931
0.8129 0.9018 0.0086
0.1069 0.6958 0.5087
0.3931 0.4018 0.0889
0.0889 0.9018 0.3931
0.4111 0.1069 0.5982
0.0889 0.1871 0.1958
0.4914 0.6871 0.0982
0.8129 0.9111 0.3042
0.1069 0.4111 0.0982
0.3931 0.9914 0.8042
0.5982 0.6069 0.4111
0.9018 0.8129 0.5087
0.8042 0.3129 0.9111
0.4018 0.3931 0.5889
0.0982 0.1871 0.4914
0.1958 0.6871 0.0889
0.1871 0.0889 0.6958
0.6069 0.0086 0.1958
0.8931 0.5889 0.9018
0.5087 0.3129 0.9018
0.5889 0.8931 0.4018
0.9111 0.8129 0.8042
0.9111 0.0982 0.6069
0.8931 0.3042 0.4914
0.1871 0.0982 0.9914
0.6069 0.5982 0.9111
0.4018 0.0086 0.3129
0.3042 0.4111 0.8129
0.1958 0.5087 0.6069
0.9018 0.0889 0.8931
0.6871 0.1958 0.5889
0.4914 0.8042 0.8931
0.0086 0.4018 0.8129
0.4111 0.3042 0.3129
0.0086 0.6069 0.6958
0.6871 0.4914 0.5982
0.3042 0.8931 0.9914
```


Record 5
Here is crystalline La2Pm4Pb3O2 at its relaxed geometry from the Alexandria database. Energies are from PBE.

Fermi-level density of states ... 0.508 states/eV per atom
Raw formation energy ... -1.4154 eV/atom

Geometry as POSCAR:
```
La2Pm4Pb3O2
1.0
4.8517 0.0000 0.0000
0.0000 4.8517 0.0000
-2.4258 -2.4258 13.2049
La Pm Pb O
2 4 3 2
direct
0.3074 0.3074 0.6147
0.6926 0.6926 0.3853
0.4182 0.9182 0.8365
0.9182 0.4182 0.8365
0.0818 0.5818 0.1635
0.5818 0.0818 0.1635
0.0000 0.0000 0.0000
0.1762 0.1762 0.3525
0.8238 0.8238 0.6475
0.4009 0.4009 0.8018
0.5991 0.5991 0.1982
```


Record 6
Here is crystalline La2PmPbO at its relaxed geometry from the Alexandria database. Energies are from PBE.

Fermi-level density of states ... 0.888 states/eV per atom
Raw formation energy ... -1.4298 eV/atom

Geometry as POSCAR:
```
La2PmPbO
1.0
-1.7191 -4.3109 1.8556
4.3303 -0.6148 2.5834
-2.0000 2.4961 3.9463
La Pm Pb O
2 1 1 1
direct
0.0000 0.0000 0.5000
0.0000 0.5000 0.0000
0.5000 0.0000 0.0000
0.5000 0.5000 0.5000
0.0000 0.0000 0.0000
```